1.
First-principles (meta-GGA SCAN) data for a PBEsol-optimized structure of PuSi2Rh2, as listed in Alexandria.

Summary:
* space-group type: I4/mmm (139)
* total energy: -40.453 eV per atom
* density of states at the Fermi level: 6.3 states/eV/f.u.
* crystal system: tetragonal
* raw formation energy: -0.910 eV/atom

Cell and atoms, written as extended XYZ:
```
5
Lattice="3.984 0.000 0.000 0.000 3.984 0.000 -1.992 -1.992 5.027" Properties=species:S:1:pos:R:3 pbc="T T T"
Si 0.000 0.000 3.814
Si 1.992 1.992 1.214
Rh 0.000 1.992 2.514
Rh 1.992 0.000 2.514
Pu 0.000 0.000 0.000
```



2.
First-principles (meta-GGA SCAN) data for a PBEsol-optimized structure of PuRu, as listed in Alexandria.

Summary:
* space-group type: Pm-3m (221)
* total energy: -72.483 eV per atom
* density of states at the Fermi level: 4.9 states/eV/f.u.
* crystal system: cubic

Cell and atoms, written as extended XYZ:
```
2
Lattice="-1.096 -2.777 1.432 2.229 -1.758 -1.704 2.189 0.401 2.451" Properties=species:S:1:pos:R:3 pbc="T T T"
Ru 0.000 0.000 0.000
Pu 1.661 -2.067 1.090
```



3.
First-principles (meta-GGA SCAN) data for a PBEsol-optimized structure of PuSi2Ru2, as listed in Alexandria.

Summary:
* space-group type: I4/mmm (139)
* total energy: -40.621 eV per atom
* density of states at the Fermi level: 13.4 states/eV/f.u.
* crystal system: tetragonal
* raw formation energy: -0.656 eV/atom

Cell and atoms, written as extended XYZ:
```
5
Lattice="4.089 0.000 0.000 0.000 4.089 0.000 -2.044 -2.044 4.826" Properties=species:S:1:pos:R:3 pbc="T T T"
Ru 2.044 0.000 2.413
Ru 0.000 2.044 2.413
Si 0.000 0.000 3.593
Si 2.044 2.044 1.233
Pu 0.000 0.000 0.000
```



4.
First-principles (meta-GGA SCAN) data for a PBEsol-optimized structure of Pu4Sb3, as listed in Alexandria.

Summary:
* space-group type: I-43d (220)
* total energy: -79.378 eV per atom
* density of states at the Fermi level: 32.0 states/eV/f.u.
* crystal system: cubic
* raw formation energy: -0.471 eV/atom

Cell and atoms, written as extended XYZ:
```
14
Lattice="7.870 0.000 0.000 -2.623 7.420 0.000 -2.623 -3.710 6.426" Properties=species:S:1:pos:R:3 pbc="T T T"
Pu 5.170 0.000 0.000
Pu 3.524 4.983 2.205
Pu -1.723 3.128 1.008
Pu 1.234 0.000 0.000
Pu 0.900 3.019 3.213
Pu -0.411 -0.582 5.418
Pu 2.212 -0.691 3.213
Pu -3.035 1.273 4.221
Sb 4.591 -1.855 4.820
Sb 3.279 1.855 1.607
Sb -0.656 0.464 2.410
Sb 0.656 5.101 0.803
Sb 1.968 1.391 5.623
Sb -1.968 4.174 4.016
```



- Which formula does entry 2 have?
  PuRu



- The lowest density of states at the Fermi level belongs to which entry?
  PuRu